Record 1
# MnNi3Cl

A geometry-optimized MnNi3Cl structure (GGA-PBE, Alexandria).

CIF file:
```
data_MnNi3Cl
_chemical_formula_sum 'Mn1 Ni3 Cl1'
_symmetry_space_group_name_H-M 'P m -3 m'
_symmetry_Int_Tables_number 221
_symmetry_space_group_name_Hall '-P 4 2 3'
_cell_length_a 4.317
_cell_length_b 4.317
_cell_length_c 4.317
_cell_angle_alpha 90.00
_cell_angle_beta 90.00
_cell_angle_gamma 90.00
loop_
_atom_site_label
_atom_site_type_symbol
_atom_site_fract_x
_atom_site_fract_y
_atom_site_fract_z
Mn1 Mn 0.000 0.000 0.000
Ni1 Ni 0.000 0.000 0.500
Cl1 Cl 0.500 0.500 0.500
```

Properties
- Magnetization: 0.00 μB per cell
- Distance to the lowest polymorph of the same formula: 585.1 meV per atom
- E_form (uncorrected): 1.22 eV/atom



Record 2
# LaScCl2

A geometry-optimized LaScCl2 structure (GGA-PBE, Alexandria).

CIF file:
```
data_LaScCl2
_chemical_formula_sum 'La4 Sc4 Cl8'
_symmetry_space_group_name_H-M 'F -4 3 m'
_symmetry_Int_Tables_number 216
_symmetry_space_group_name_Hall 'F -4 2 3'
_cell_length_a 7.568
_cell_length_b 7.568
_cell_length_c 7.568
_cell_angle_alpha 90.00
_cell_angle_beta 90.00
_cell_angle_gamma 90.00
loop_
_atom_site_label
_atom_site_type_symbol
_atom_site_fract_x
_atom_site_fract_y
_atom_site_fract_z
La1 La 0.000 0.000 0.000
Sc1 Sc 0.250 0.250 0.750
Cl1 Cl 0.000 0.000 0.500
Cl2 Cl 0.250 0.250 0.250
```

Properties
- Magnetization: 15.92 μB per cell
- Distance to the lowest polymorph of the same formula: 895.3 meV per atom
- E_form (uncorrected): -0.48 eV/atom



Record 3
# BiC2NF

A geometry-optimized BiC2NF structure (GGA-PBE, Alexandria).

CIF file:
```
data_BiC2NF
_chemical_formula_sum 'Bi1 C2 N1 F1'
_symmetry_space_group_name_H-M 'P 4/m m m'
_symmetry_Int_Tables_number 123
_symmetry_space_group_name_Hall '-P 4 2'
_cell_length_a 3.639
_cell_length_b 3.639
_cell_length_c 5.702
_cell_angle_alpha 90.00
_cell_angle_beta 90.00
_cell_angle_gamma 90.00
loop_
_atom_site_label
_atom_site_type_symbol
_atom_site_fract_x
_atom_site_fract_y
_atom_site_fract_z
Bi1 Bi 0.000 0.000 0.000
C1 C 0.000 0.500 0.500
N1 N 0.500 0.500 0.000
F1 F 0.000 0.000 0.500
```

Properties
- Magnetization: 1.78 μB per cell
- E_form (uncorrected): 2.82 eV/atom



Record 4
# Cs5Cd2Ag

A geometry-optimized Cs5Cd2Ag structure (GGA-PBE, Alexandria).

CIF file:
```
data_Cs5Cd2Ag
_chemical_formula_sum 'Cs20 Cd8 Ag4'
_symmetry_space_group_name_H-M 'C m c m'
_symmetry_Int_Tables_number 63
_symmetry_space_group_name_Hall '-C 2c 2'
_cell_length_a 4.995
_cell_length_b 19.060
_cell_length_c 23.678
_cell_angle_alpha 90.00
_cell_angle_beta 90.00
_cell_angle_gamma 90.00
loop_
_atom_site_label
_atom_site_type_symbol
_atom_site_fract_x
_atom_site_fract_y
_atom_site_fract_z
Cs1 Cs 0.000 0.057 0.250
Cs2 Cs 0.000 0.138 0.064
Cs3 Cs 0.000 0.371 0.134
Cd1 Cd 0.000 0.284 0.686
Ag1 Ag 0.000 0.238 0.250
```

Properties
- Magnetization: 0.00 μB per cell
- DFT formation energy: 0.003 eV/atom



Record 5
# SmGd2Dy

A geometry-optimized SmGd2Dy structure (GGA-PBE, Alexandria).

CIF file:
```
data_SmGd2Dy
_chemical_formula_sum 'Sm1 Gd2 Dy1'
_symmetry_space_group_name_H-M 'P 4/m m m'
_symmetry_Int_Tables_number 123
_symmetry_space_group_name_Hall '-P 4 2'
_cell_length_a 5.060
_cell_length_b 5.060
_cell_length_c 5.069
_cell_angle_alpha 90.00
_cell_angle_beta 90.00
_cell_angle_gamma 90.00
loop_
_atom_site_label
_atom_site_type_symbol
_atom_site_fract_x
_atom_site_fract_y
_atom_site_fract_z
Sm1 Sm 0.000 0.000 0.000
Gd1 Gd 0.000 0.500 0.500
Dy1 Dy 0.500 0.500 0.000
```

Properties
- Magnetization: 14.55 μB per cell
- Distance to the lowest polymorph of the same formula: 0.0 meV per atom
- DFT formation energy: 0.022 eV/atom



Record 6
# Ce2NiGe

A geometry-optimized Ce2NiGe structure (GGA-PBE, Alexandria).

CIF file:
```
data_Ce2NiGe
_chemical_formula_sum 'Ce2 Ni1 Ge1'
_symmetry_space_group_name_H-M 'P 4/m m m'
_symmetry_Int_Tables_number 123
_symmetry_space_group_name_Hall '-P 4 2'
_cell_length_a 4.402
_cell_length_b 4.402
_cell_length_c 4.208
_cell_angle_alpha 90.00
_cell_angle_beta 90.00
_cell_angle_gamma 90.00
loop_
_atom_site_label
_atom_site_type_symbol
_atom_site_fract_x
_atom_site_fract_y
_atom_site_fract_z
Ce1 Ce 0.000 0.500 0.000
Ni1 Ni 0.000 0.000 0.500
Ge1 Ge 0.500 0.500 0.500
```

Properties
- Magnetization: 0.00 μB per cell
- DFT formation energy: -0.420 eV/atom